Entry 1:
The following is a DFT calculation (PBE) of a relaxed structure of MgTiP3.

Cell and atoms, written as extended XYZ:
```
5
Lattice="-2.4751 1.8619 -3.4908 2.4098 -2.5562 -3.0720 -3.1377 -3.4319 0.3943" Properties=species:S:1:pos:R:3 pbc="T T T"
Ti -1.6015 -2.0631 -3.0843
P -1.2375 0.9309 -1.7454
P -1.5689 -1.7159 0.1972
P 1.2049 -1.2781 -1.5360
Mg 0.0000 0.0000 0.0000
```

Properties
- Energy relative to the lowest polymorph listed for this composition: 840.3 meV per atom
- Electronic total energy: -4.23 eV per atom
- Energy of formation from the pure elements: 909 meV per atom
- M_tot: 0.01 μB/f.u.


Entry 2:
The following is a DFT calculation (PBE) of a relaxed structure of CuReSb2.

Cell and atoms, written as extended XYZ:
```
4
Lattice="-2.6606 2.2635 3.2446 -4.7512 -0.3713 -0.1343 -2.2925 -2.4885 3.3589" Properties=species:S:1:pos:R:3 pbc="T T T"
Sb -2.4261 -0.1490 1.6173
Sb 0.0000 0.0000 0.0000
Cu -4.8522 -0.2981 3.2346
Re -7.2783 -0.4471 4.8519
```

Properties
- Energy relative to the lowest polymorph listed for this composition: 622.9 meV per atom
- Formation energy from raw total energies: 0.9449 eV/atom
- Electronic total energy: -5.25 eV per atom
- M_tot: 0.00 μB/f.u.


Entry 3:
The following is a DFT calculation (PBE) of a relaxed structure of VSn2BTe.

Cell and atoms, written as extended XYZ:
```
5
Lattice="4.9780 0.0000 0.0000 0.0000 4.2671 0.0000 0.0000 0.0000 4.9780" Properties=species:S:1:pos:R:3 pbc="T T T"
V 0.0000 2.1335 0.0000
Sn 0.0000 0.0000 2.4890
Sn 2.4890 0.0000 0.0000
Te 2.4890 2.1335 2.4890
B 0.0000 0.0000 0.0000
```

Properties
- Formation energy from raw total energies: 0.6417 eV/atom
- Electronic total energy: -4.75 eV per atom
- M_tot: 0.00 μB/f.u.


Entry 4:
The following is a DFT calculation (PBE) of a relaxed structure of SrMoPt.

Cell and atoms, written as extended XYZ:
```
6
Lattice="3.6988 -2.1355 0.0000 0.0000 4.2710 0.0000 0.0000 0.0000 10.0304" Properties=species:S:1:pos:R:3 pbc="T T T"
Pt 1.2329 2.1355 7.5228
Pt 2.4659 0.0000 2.5076
Mo 1.2329 2.1355 2.5076
Mo 2.4659 0.0000 7.5228
Sr 0.0000 0.0000 5.0152
Sr 0.0000 0.0000 0.0000
```

Properties
- Energy relative to the lowest polymorph listed for this composition: 260.2 meV per atom
- Electronic total energy: -6.06 eV per atom
- Energy of formation from the pure elements: 128 meV per atom
- M_tot: 0.00 μB/f.u.


Entry 5:
The following is a DFT calculation (PBE) of a relaxed structure of NaPCl2.

Cell and atoms, written as extended XYZ:
```
4
Lattice="-2.4109 4.1056 1.5172 0.5930 4.3025 -2.4714 -3.7519 1.8483 -2.7345" Properties=species:S:1:pos:R:3 pbc="T T T"
Na 0.0000 0.0000 0.0000
Cl -1.3925 2.5641 -0.9222
Cl -4.1774 7.6923 -2.7665
P -2.7849 5.1282 -1.8443
```

Properties
- Energy relative to the lowest polymorph listed for this composition: 449.6 meV per atom
- Formation energy from raw total energies: -0.1192 eV/atom
- Electronic total energy: -2.72 eV per atom
- M_tot: 2.00 μB/f.u.


Entry 6:
The following is a DFT calculation (PBE) of a relaxed structure of Ba2AcB2O6.

Cell and atoms, written as extended XYZ:
```
11
Lattice="-1.5509 -1.9090 -4.7054 5.2221 2.0952 0.4243 -1.1580 -7.0176 3.2287" Properties=species:S:1:pos:R:3 pbc="T T T"
O -1.0420 -5.9993 1.4026
O 0.9831 -5.1008 -1.2502
O 1.5301 -1.7306 0.1978
O 3.5551 -0.8321 -2.4550
O -1.8811 -7.0322 -1.1434
O 4.3943 0.2008 0.0910
Ba 0.8335 -1.6103 -2.6169
Ba 1.6797 -5.2211 1.5646
Ac -1.3545 -4.4633 -0.7383
B 0.1851 -1.5906 0.5843
B 2.3281 -5.2407 -1.6367
```

Properties
- Formation energy from raw total energies: -2.7338 eV/atom
- Electronic total energy: -7.38 eV per atom
- M_tot: 0.00 μB/f.u.


Entry 7:
The following is a DFT calculation (PBE) of a relaxed structure of SrNi2B2.

Cell and atoms, written as extended XYZ:
```
20
Lattice="-1.0499 1.9431 -2.9198 4.2665 -4.6184 -4.6077 -6.0272 -8.0595 -3.1962" Properties=species:S:1:pos:R:3 pbc="T T T"
Sr -0.8701 -0.9390 -2.6072
Sr -2.4980 -6.4524 -3.3957
Sr 0.7373 -6.2255 -4.4081
Sr -1.9405 -9.7958 -8.1164
B 1.6521 -3.3673 -5.1302
B -0.7123 -4.1075 -2.4773
B 0.4708 -8.8862 -6.0830
B -4.1926 -8.7114 -6.5849
B 1.3819 -2.0234 -4.1387
B -4.4627 -7.3675 -5.5935
B -1.0484 -8.5704 -5.3265
B -2.2315 -3.7917 -1.7209
Ni -2.5645 -3.4016 -3.6367
Ni -4.8745 -8.0599 -3.6110
Ni -2.4162 -7.3372 -6.3092
Ni 1.3951 -3.5920 -2.8922
Ni -0.2461 -7.3332 -7.0869
Ni 3.1138 -4.6180 -4.1929
Ni -0.3944 -3.3976 -4.4145
Ni -3.1559 -9.0858 -4.9117
```

Properties
- Electronic total energy: -5.40 eV per atom
- Energy of formation from the pure elements: -80 meV per atom
- M_tot: 0.00 μB/f.u.


Entry 8:
The following is a DFT calculation (PBE) of a relaxed structure of Nd2NpS5.

Cell and atoms, written as extended XYZ:
```
32
Lattice="7.5194 0.0000 0.0000 0.0000 8.0712 0.0000 0.0000 0.0000 11.9448" Properties=species:S:1:pos:R:3 pbc="T T T"
S 6.0665 6.0534 2.5419
S 0.3615 2.0178 5.9823
S 4.9806 3.7256 4.8395
S 2.3068 2.0178 3.4305
S 2.5388 4.3456 7.1052
S 2.5388 7.7612 7.1052
S 1.2209 4.3456 1.1329
S 1.2677 6.0534 9.7102
S 1.2209 7.7612 1.1329
S 1.4529 2.0178 9.4028
S 4.1212 6.0534 11.9348
S 6.2985 3.7256 10.8119
S 4.9806 0.3100 4.8395
S 7.1579 6.0534 5.9625
S 2.4920 6.0534 3.7378
S 6.2985 0.3100 10.8119
S 5.0274 2.0178 8.2070
S 6.2517 2.0178 2.2346
S 5.2126 6.0534 8.5143
S 3.3982 2.0178 0.0099
Nd 7.3325 0.0015 8.0812
Nd 3.9466 4.0341 2.1089
Nd 7.3325 4.0341 8.0812
Nd 0.1869 8.0697 3.8635
Nd 0.1869 4.0371 3.8635
Nd 3.5728 8.0697 9.8359
Nd 3.5728 4.0371 9.8359
Nd 3.9466 0.0015 2.1089
Np 4.2293 6.0534 5.9064
Np 3.2901 2.0178 6.0383
Np 7.0498 6.0534 11.8788
Np 0.4696 2.0178 0.0659
```

Properties
- Formation energy from raw total energies: -1.7916 eV/atom
- Electronic total energy: -7.18 eV per atom
- M_tot: 3.00 μB/f.u.